Density functional theory data (PBE) for an optimized crystal structure of CaHo2Au4. Values from VASP.

Quantum ESPRESSO input file:
```
&SYSTEM
  ibrav = 0, nat = 7, ntyp = 3
/
ATOMIC_SPECIES
Ca 40.08 Ca.upf
Ho 164.93 Ho.upf
Au 196.97 Au.upf
ATOMIC_POSITIONS crystal
Ca 0.000 0.000 0.000
Ho 0.000 0.500 0.500
Ho 0.500 0.000 0.500
Au 0.000 0.000 0.500
Au 0.000 0.500 0.000
Au 0.500 0.000 0.000
Au 0.500 0.500 0.500
CELL_PARAMETERS angstrom
-3.530 3.530 3.502
3.530 -3.530 3.502
3.530 3.530 -3.502
```

* mass density: 11.01 Mg/m³
* space group: I4/mmm
* energy of formation from the pure elements: -430 kJ/mol of formula units
* density of states at the Fermi level: 4.970 states/eV/f.u.
* electronic total energy: -4.104 eV per atom